Compound: TiBeTe2Pb
Source: Alexandria via LeMat-Bulk
Functional: PBE
Structure: relaxed

Results
Formation energy from raw total energies in eV/f.u.: 4.703
Calculated total energy in eV per atom: -3.3819
Volume in Å³/atom: 32.2
Spin magnetization in μB per formula unit: 0.02
Space-group type: P4/mmm, No. 123

```
5
Lattice="-5.3618 2.1836 1.6491 -0.9419 -3.8372 2.0182 2.4196 2.0890 5.1009" Properties=species:S:1:pos:R:3 pbc="T T T"
Be -0.4710 -1.9186 1.0091
Te 1.2098 1.0445 2.5504
Te -2.6809 1.0918 0.8246
Pb 0.0000 0.0000 0.0000
Ti -1.9421 0.2177 4.3841
```